This record from the Alexandria database describes a PBEsol-optimized structure of NaAgH2. The functional is meta-GGA SCAN.

Calculated values
- ρ: 4.417 Mg/m³
- Calculated total energy: -10.7144 eV per atom
- Fermi-level density of states: 0.000 states/eV/f.u.

Cell and atoms, written as CIF:
```
data_NaAgH2
_space_group_name_H-M_alt 'I -4 2 d'
_space_group_IT_number 122
_space_group_name_Hall 'I -4 2bw'
_cell_length_a 5.002
_cell_length_b 5.002
_cell_length_c 7.987
_cell_angle_alpha 90.00
_cell_angle_beta 90.00
_cell_angle_gamma 90.00
loop_
_atom_site_label
_atom_site_fract_x
_atom_site_fract_y
_atom_site_fract_z
Na1 0.000 0.000 0.000
Ag1 0.000 0.000 0.500
H1 0.176 0.750 0.625
```